1.
# CaTl2IrO6

Crystalline CaTl2IrO6 at its relaxed geometry (PBE-GGA, the Alexandria database).

Cell lengths 5.746, 5.822, 10.015 Å; angles 90.00, 124.67, 90.00 degrees
Space group P2_1/c (No. 14)
Asymmetric unit:
Ca 0.000 0.000 0.000 (multiplicity 2)
Tl 0.224 0.041 0.739 (multiplicity 4)
Ir 0.500 0.000 0.500 (multiplicity 2)
O 0.172 0.184 0.447 (multiplicity 4)
O 0.250 0.729 0.425 (multiplicity 4)
O 0.394 0.063 0.278 (multiplicity 4)

2.
# CaTl2IrO8

Crystalline CaTl2IrO8 at its relaxed geometry (PBE-GGA, the Alexandria database).

Cell lengths 5.000, 5.167, 6.777 Å; angles 91.33, 91.72, 92.95 degrees
Space group P-1 (No. 2)
Asymmetric unit:
Ca 0.000 0.000 0.000 (multiplicity 1)
Tl 0.475 0.487 0.753 (multiplicity 2)
Ir 0.000 0.000 0.500 (multiplicity 1)
O 0.199 0.849 0.304 (multiplicity 2)
O 0.212 0.862 0.703 (multiplicity 2)
O 0.246 0.312 0.498 (multiplicity 2)
O 0.265 0.352 0.019 (multiplicity 2)

Computed values of final energy (unit: eV for the cell shown) for the preceding records, in sequence: -114.4, -65.4.